Crystalline PmPr8Ho3 at its relaxed geometry. Source: Alexandria, functional PBE-GGA.

Geometry as POSCAR:
```
PmPr8Ho3
1.0
-3.045 1.320 5.399
-5.557 -5.552 5.677
9.399 -1.422 1.915
Pm Pr Ho
1 8 3
Direct
0.876 0.873 0.498 Pm
0.377 0.704 0.834 Pr
0.626 0.956 0.831 Pr
0.875 0.208 0.833 Pr
0.373 0.372 0.499 Pr
0.628 0.622 0.501 Pr
0.125 0.788 0.167 Pr
0.623 0.291 0.167 Pr
0.372 0.040 0.168 Pr
0.125 0.455 0.832 Ho
0.124 0.124 0.502 Ho
0.876 0.539 0.165 Ho
```

Properties
DOS(E_F) ... 17.744 states/eV/f.u.
Electronic total energy ... -56.5 eV for the cell shown
Size of the total moment ... 0.00 μB/f.u.
ΔE_f ... 0.0154 eV per atom

***

Crystalline La6SmIn at its relaxed geometry. Source: Alexandria, functional PBE-GGA.

Geometry as POSCAR:
```
La6SmIn
1.0
7.290 -0.626 -0.696
-3.293 6.534 -0.696
-1.422 -2.103 6.684
La Sm In
6 1 1
Direct
0.252 0.252 0.760 La
0.448 0.995 0.238 La
0.748 0.748 0.240 La
0.005 0.552 0.762 La
0.552 0.005 0.762 La
0.995 0.448 0.238 La
0.500 0.500 0.500 Sm
0.000 0.000 0.000 In
```

Properties
ΔE to the lowest computed polymorph ... 251 meV per atom
DOS(E_F) ... 13.446 states/eV/f.u.
Electronic total energy ... -36.1 eV for the cell shown
Size of the total moment ... 0.04 μB/f.u.
ΔE_f ... 0.1190 eV per atom

***

Crystalline HoScBr6 at its relaxed geometry. Source: Alexandria, functional PBE-GGA.

Geometry as POSCAR:
```
HoScBr6
1.0
6.904 0.009 0.008
3.444 5.983 0.012
3.441 1.988 6.225
Ho Sc Br
1 1 6
Direct
0.500 0.500 0.500 Ho
0.000 0.000 0.000 Sc
0.090 0.396 0.756 Br
0.758 0.090 0.756 Br
0.604 0.242 0.244 Br
0.242 0.910 0.244 Br
0.910 0.604 0.244 Br
0.396 0.758 0.756 Br
```

Properties
ΔE to the lowest computed polymorph ... 26 meV per atom
DOS(E_F) ... 0.000 states/eV/f.u.
Electronic total energy ... -34.7 eV for the cell shown
E_form (uncorrected) ... -1715 meV per atom
Size of the total moment ... 0.00 μB/f.u.

***

Crystalline Ba2TeBr at its relaxed geometry. Source: Alexandria, functional PBE-GGA.

Geometry as POSCAR:
```
Ba2TeBr
1.0
-3.694 -3.487 -5.702
-3.930 -4.136 5.075
-9.326 1.687 -0.103
Te Ba Br
2 4 2
Direct
0.000 0.000 0.000 Te
0.750 0.250 0.500 Te
0.622 0.125 0.250 Ba
0.128 0.625 0.250 Ba
0.375 0.378 0.750 Ba
0.875 0.872 0.750 Ba
0.500 0.500 0.000 Br
0.250 0.750 0.500 Br
```

Properties
ΔE to the lowest computed polymorph ... 256 meV per atom
DOS(E_F) ... 3.438 states/eV/f.u.
Electronic total energy ... -28.8 eV for the cell shown
E_form (uncorrected) ... -1440 meV per atom
Size of the total moment ... 0.88 μB/f.u.

***

Crystalline YSc2In at its relaxed geometry. Source: Alexandria, functional PBE-GGA.

Geometry as POSCAR:
```
YSc2In
1.0
-0.740 2.778 11.061
2.468 3.454 10.611
0.179 5.731 9.886
Y Sc In
1 2 1
Direct
0.000 0.000 0.000 Y
0.906 0.906 0.906 Sc
0.094 0.094 0.094 Sc
0.500 0.500 0.500 In
```

Properties
DOS(E_F) ... 6.396 states/eV/f.u.
Electronic total energy ... -21.5 eV for the cell shown
Size of the total moment ... 0.91 μB/f.u.
ΔE_f ... 0.0938 eV per atom

***

Crystalline Sr2AcScSe4 at its relaxed geometry. Source: Alexandria, functional PBE-GGA.

Geometry as POSCAR:
```
Sr2AcScSe4
1.0
4.297 0.000 0.000
0.000 7.428 0.131
0.000 -2.595 7.088
Sr Ac Sc Se
2 1 1 4
Direct
0.500 0.000 0.500 Sr
0.000 0.500 0.500 Sr
0.500 0.500 0.000 Ac
0.000 0.000 0.000 Sc
0.500 0.224 0.229 Se
0.500 0.776 0.771 Se
0.000 0.232 0.758 Se
0.000 0.768 0.242 Se
```

Properties
DOS(E_F) ... 4.032 states/eV/f.u.
Electronic total energy ... -42.2 eV for the cell shown
E_form (uncorrected) ... -1807 meV per atom
Size of the total moment ... 0.01 μB/f.u.

***

Crystalline NdEr2Rh2 at its relaxed geometry. Source: Alexandria, functional PBE-GGA.

Geometry as POSCAR:
```
NdEr2Rh2
1.0
4.035 0.000 -0.619
0.000 4.702 0.000
-0.129 0.000 12.624
Nd Er Rh
2 4 4
Direct
0.364 0.250 0.729 Nd
0.636 0.750 0.271 Nd
0.053 0.250 0.106 Er
0.947 0.750 0.894 Er
0.750 0.250 0.500 Er
0.250 0.750 0.500 Er
0.177 0.250 0.353 Rh
0.823 0.750 0.647 Rh
0.470 0.250 0.941 Rh
0.530 0.750 0.059 Rh
```

Properties
ΔE to the lowest computed polymorph ... 0 meV per atom
DOS(E_F) ... 3.701 states/eV/f.u.
Electronic total energy ... -63.4 eV for the cell shown
Size of the total moment ... 0.00 μB/f.u.
ΔE_f ... -0.6190 eV per atom

***

Crystalline SiOs2Br at its relaxed geometry. Source: Alexandria, functional PBE-GGA.

Geometry as POSCAR:
```
SiOs2Br
1.0
4.475 0.000 0.000
2.237 3.875 0.000
2.237 1.292 3.654
Br Os Si
1 2 1
Direct
0.500 0.500 0.500 Br
0.000 0.000 0.000 Os
0.750 0.750 0.750 Os
0.250 0.250 0.250 Si
```

Properties
ΔE to the lowest computed polymorph ... 839 meV per atom
DOS(E_F) ... 2.184 states/eV/f.u.
Electronic total energy ... -24.3 eV for the cell shown
E_form (uncorrected) ... 1306 meV per atom
Size of the total moment ... 0.00 μB/f.u.

***

Crystalline La2Zn2Cr at its relaxed geometry. Source: Alexandria, functional PBE-GGA.

Geometry as POSCAR:
```
La2Zn2Cr
1.0
-2.513 -1.168 8.415
1.720 -8.664 -0.688
3.110 0.538 1.004
Cr Zn La
2 4 4
Direct
0.000 0.000 0.000 Cr
0.500 0.500 0.000 Cr
0.110 0.610 0.500 Zn
0.610 0.890 0.500 Zn
0.890 0.390 0.500 Zn
0.390 0.110 0.500 Zn
0.318 0.818 0.000 La
0.818 0.682 0.000 La
0.682 0.182 0.000 La
0.182 0.318 0.000 La
```

Properties
ΔE to the lowest computed polymorph ... 77 meV per atom
DOS(E_F) ... 4.918 states/eV/f.u.
Electronic total energy ... -41.2 eV for the cell shown
Size of the total moment ... 4.03 μB/f.u.
ΔE_f ... 0.2856 eV per atom

***

Crystalline CuAg3Hg at its relaxed geometry. Source: Alexandria, functional PBE-GGA.

Geometry as POSCAR:
```
CuAg3Hg
1.0
4.855 0.000 0.000
0.000 4.855 0.000
0.000 0.000 4.855
Cu Hg Ag
1 1 3
Direct
0.000 0.000 0.000 Cu
0.500 0.500 0.500 Hg
0.000 0.500 0.000 Ag
0.000 0.000 0.500 Ag
0.500 0.000 0.000 Ag
```

Properties
ΔE to the lowest computed polymorph ... 0 meV per atom
DOS(E_F) ... 1.873 states/eV/f.u.
Electronic total energy ... -10.3 eV for the cell shown
Size of the total moment ... 0.00 μB/f.u.
ΔE_f ... 0.5247 eV per atom

***

Crystalline AlCoSi2 at its relaxed geometry. Source: Alexandria, functional PBE-GGA.

Geometry as POSCAR:
```
AlCoSi2
1.0
3.862 0.000 0.000
0.000 3.862 0.000
1.931 1.931 7.880
Si Co Al
4 2 2
Direct
0.675 0.125 0.250 Si
0.075 0.625 0.250 Si
0.375 0.325 0.750 Si
0.875 0.925 0.750 Si
0.000 0.000 0.000 Co
0.750 0.250 0.500 Co
0.500 0.500 0.000 Al
0.250 0.750 0.500 Al
```

Properties
DOS(E_F) ... 2.845 states/eV/f.u.
Electronic total energy ... -43.1 eV for the cell shown
E_form (uncorrected) ... 39 meV per atom
Size of the total moment ... 0.00 μB/f.u.